Here is Ce3PuS4 after structural relaxation from the Alexandria database. Energies are from PBE.

Lattice parameters (Å, degrees): 5.660 5.660 5.660 90.00 90.00 90.00
Atoms (fractional coordinates):
Ce (0.000, 0.500, 0.500)
Ce (0.500, 0.000, 0.500)
Ce (0.500, 0.500, 0.000)
Pu (0.000, 0.000, 0.000)
S (0.500, 0.000, 0.000)
S (0.000, 0.500, 0.000)
S (0.000, 0.000, 0.500)
S (0.500, 0.500, 0.500)

## Properties
The uncorrected energy comes out at -8.050 eV/atom. The energy relative to the elements, uncorrected is -1.9700 eV per atom. For the density of states at the Fermi level, the calculation gives 2.22 states/eV per atom.


Here is CePu2Sc3S6 after structural relaxation from the Alexandria database. Energies are from PBE.

Lattice parameters (Å, degrees): 6.585 6.585 6.738 99.37 99.37 120.02
Atoms (fractional coordinates):
Ce (0.000, 0.000, 0.000)
Pu (0.333, 0.667, 0.000)
Pu (0.667, 0.333, 0.000)
Sc (0.167, 0.833, 0.500)
Sc (0.833, 0.167, 0.500)
Sc (0.500, 0.500, 0.500)
S (0.909, 0.572, 0.728)
S (0.754, 0.754, 0.273)
S (0.091, 0.428, 0.272)
S (0.572, 0.909, 0.728)
S (0.246, 0.246, 0.727)
S (0.428, 0.091, 0.272)

## Properties
The uncorrected energy comes out at -8.400 eV/atom. The energy relative to the elements, uncorrected is -1.8704 eV per atom. For the density of states at the Fermi level, the calculation gives 1.65 states/eV per atom.


Here is CePuSc2S4 after structural relaxation from the Alexandria database. Energies are from PBE.

Lattice parameters (Å, degrees): 3.803 6.593 6.758 108.95 90.00 90.00
Atoms (fractional coordinates):
Ce (0.000, 0.000, 0.000)
Pu (0.500, 0.500, 0.000)
Sc (0.500, 0.000, 0.500)
Sc (0.000, 0.500, 0.500)
S (0.500, 0.261, 0.275)
S (0.500, 0.739, 0.725)
S (0.000, 0.245, 0.728)
S (0.000, 0.755, 0.272)

## Properties
The uncorrected energy comes out at -8.069 eV/atom. The energy relative to the elements, uncorrected is -1.8890 eV per atom. For the density of states at the Fermi level, the calculation gives 1.43 states/eV per atom.


Here is Ce3Pu2ScS6 after structural relaxation from the Alexandria database. Energies are from PBE.

Lattice parameters (Å, degrees): 6.801 6.801 6.868 99.52 99.52 120.00
Atoms (fractional coordinates):
Ce (0.169, 0.831, 0.500)
Ce (0.831, 0.169, 0.500)
Ce (0.500, 0.500, 0.500)
Pu (0.334, 0.666, 0.000)
Pu (0.666, 0.334, 0.000)
Sc (0.000, 0.000, 0.000)
S (0.922, 0.598, 0.765)
S (0.756, 0.756, 0.239)
S (0.078, 0.402, 0.235)
S (0.598, 0.922, 0.765)
S (0.244, 0.244, 0.761)
S (0.402, 0.078, 0.235)

## Properties
The uncorrected energy comes out at -8.377 eV/atom. The energy relative to the elements, uncorrected is -1.9132 eV per atom. For the density of states at the Fermi level, the calculation gives 1.94 states/eV per atom.


Here is CePuSeS2 after structural relaxation from the Alexandria database. Energies are from PBE.

Lattice parameters (Å, degrees): 6.132 6.152 7.307 114.89 90.00 90.00
Atoms (fractional coordinates):
Ce (0.250, 0.876, 0.752)
Ce (0.750, 0.124, 0.248)
Pu (0.250, 0.620, 0.239)
Pu (0.750, 0.380, 0.761)
Se (0.750, 0.750, 0.500)
Se (0.250, 0.250, 0.500)
S (0.500, 0.250, 0.000)
S (0.000, 0.750, 0.000)
S (0.500, 0.750, 0.000)
S (0.000, 0.250, 0.000)

## Properties
The uncorrected energy comes out at -7.847 eV/atom. The energy relative to the elements, uncorrected is -1.4455 eV per atom. For the density of states at the Fermi level, the calculation gives 2.26 states/eV per atom.


Here is Ce2Sm3PuS6 after structural relaxation from the Alexandria database. Energies are from PBE.

Lattice parameters (Å, degrees): 4.002 8.022 8.960 102.94 102.91 90.00
Atoms (fractional coordinates):
Ce (0.834, 0.666, 0.667)
Ce (0.166, 0.334, 0.333)
Sm (0.500, 0.500, 0.000)
Sm (0.833, 0.165, 0.667)
Sm (0.167, 0.835, 0.333)
Pu (0.500, 0.000, 0.000)
S (0.334, 0.918, 0.669)
S (0.666, 0.585, 0.332)
S (0.666, 0.082, 0.331)
S (0.000, 0.246, 0.999)
S (0.000, 0.754, 0.001)
S (0.334, 0.415, 0.668)

## Properties
The uncorrected energy comes out at -7.427 eV/atom. The energy relative to the elements, uncorrected is -2.0001 eV per atom. For the density of states at the Fermi level, the calculation gives 1.45 states/eV per atom.


Here is CeSmPu2S4 after structural relaxation from the Alexandria database. Energies are from PBE.

Lattice parameters (Å, degrees): 3.980 6.907 6.903 109.35 90.00 90.00
Atoms (fractional coordinates):
Ce (0.500, 0.500, 0.000)
Sm (0.000, 0.000, 0.000)
Pu (0.500, 0.000, 0.500)
Pu (0.000, 0.500, 0.500)
S (0.500, 0.251, 0.256)
S (0.500, 0.749, 0.744)
S (0.000, 0.247, 0.742)
S (0.000, 0.753, 0.258)

## Properties
The uncorrected energy comes out at -8.893 eV/atom. The energy relative to the elements, uncorrected is -1.9150 eV per atom. For the density of states at the Fermi level, the calculation gives 2.09 states/eV per atom.


Here is Ce3SmPu2S6 after structural relaxation from the Alexandria database. Energies are from PBE.

Lattice parameters (Å, degrees): 6.916 6.916 6.938 99.56 99.56 120.02
Atoms (fractional coordinates):
Ce (0.166, 0.834, 0.500)
Ce (0.834, 0.166, 0.500)
Ce (0.500, 0.500, 0.500)
Sm (0.000, 0.000, 0.000)
Pu (0.333, 0.667, 0.000)
Pu (0.667, 0.333, 0.000)
S (0.918, 0.582, 0.756)
S (0.744, 0.744, 0.244)
S (0.082, 0.418, 0.244)
S (0.582, 0.918, 0.756)
S (0.256, 0.256, 0.756)
S (0.418, 0.082, 0.244)

## Properties
The uncorrected energy comes out at -8.283 eV/atom. The energy relative to the elements, uncorrected is -1.9537 eV per atom. For the density of states at the Fermi level, the calculation gives 2.29 states/eV per atom.


Here is CeSm3Pu2S6 after structural relaxation from the Alexandria database. Energies are from PBE.

Lattice parameters (Å, degrees): 6.909 6.909 6.935 99.55 99.55 120.00
Atoms (fractional coordinates):
Ce (0.000, 0.000, 0.000)
Sm (0.166, 0.834, 0.500)
Sm (0.834, 0.166, 0.500)
Sm (0.500, 0.500, 0.500)
Pu (0.333, 0.667, 0.000)
Pu (0.667, 0.333, 0.000)
S (0.918, 0.581, 0.753)
S (0.745, 0.745, 0.247)
S (0.082, 0.419, 0.247)
S (0.581, 0.918, 0.753)
S (0.255, 0.255, 0.753)
S (0.419, 0.082, 0.247)

## Properties
The uncorrected energy comes out at -8.086 eV/atom. The energy relative to the elements, uncorrected is -1.9598 eV per atom. For the density of states at the Fermi level, the calculation gives 1.68 states/eV per atom.


Here is CeSm4Pu3S8 after structural relaxation from the Alexandria database. Energies are from PBE.

Lattice parameters (Å, degrees): 7.967 7.998 7.967 119.87 120.00 90.00
Atoms (fractional coordinates):
Ce (0.000, 0.500, 0.000)
Sm (0.500, 0.000, 0.000)
Sm (0.500, 0.000, 0.500)
Sm (0.000, 0.000, 0.000)
Sm (0.000, 0.000, 0.500)
Pu (0.500, 0.500, 0.000)
Pu (0.500, 0.500, 0.500)
Pu (0.000, 0.500, 0.500)
S (0.250, 0.747, 0.997)
S (0.250, 0.747, 0.501)
S (0.252, 0.256, 0.504)
S (0.746, 0.747, 0.997)
S (0.254, 0.253, 0.003)
S (0.748, 0.744, 0.496)
S (0.750, 0.253, 0.499)
S (0.750, 0.253, 0.003)

## Properties
The uncorrected energy comes out at -8.250 eV/atom. The energy relative to the elements, uncorrected is -1.9480 eV per atom. For the density of states at the Fermi level, the calculation gives 1.69 states/eV per atom.


Here is CeSm2PuS4 after structural relaxation from the Alexandria database. Energies are from PBE.

Lattice parameters (Å, degrees): 3.988 6.929 6.950 109.32 90.00 90.00
Atoms (fractional coordinates):
Ce (0.000, 0.000, 0.000)
Sm (0.500, 0.000, 0.500)
Sm (0.000, 0.500, 0.500)
Pu (0.500, 0.500, 0.000)
S (0.500, 0.253, 0.250)
S (0.500, 0.747, 0.750)
S (0.000, 0.254, 0.753)
S (0.000, 0.746, 0.247)

## Properties
The uncorrected energy comes out at -7.756 eV/atom. The energy relative to the elements, uncorrected is -1.9796 eV per atom. For the density of states at the Fermi level, the calculation gives 1.47 states/eV per atom.


Here is SrCe2PuS4 after structural relaxation from the Alexandria database. Energies are from PBE.

Lattice parameters (Å, degrees): 4.059 7.085 7.065 70.68 90.00 90.00
Atoms (fractional coordinates):
Sr (0.000, 0.500, 0.500)
Ce (0.000, 0.000, 0.000)
Ce (0.500, 0.000, 0.500)
Pu (0.500, 0.500, 0.000)
S (0.000, 0.748, 0.758)
S (0.000, 0.252, 0.242)
S (0.500, 0.755, 0.241)
S (0.500, 0.245, 0.759)

## Properties
The uncorrected energy comes out at -7.482 eV/atom. The energy relative to the elements, uncorrected is -1.9330 eV per atom. For the density of states at the Fermi level, the calculation gives 2.21 states/eV per atom.


Here is Tb3CePu2S6 after structural relaxation from the Alexandria database. Energies are from PBE.

Lattice parameters (Å, degrees): 6.828 6.828 6.883 99.50 99.50 120.00
Atoms (fractional coordinates):
Tb (0.166, 0.834, 0.500)
Tb (0.834, 0.166, 0.500)
Tb (0.500, 0.500, 0.500)
Ce (0.000, 0.000, 0.000)
Pu (0.333, 0.667, 0.000)
Pu (0.667, 0.333, 0.000)
S (0.915, 0.578, 0.746)
S (0.748, 0.748, 0.254)
S (0.085, 0.422, 0.254)
S (0.578, 0.915, 0.746)
S (0.252, 0.252, 0.746)
S (0.422, 0.085, 0.254)

## Properties
The uncorrected energy comes out at -8.062 eV/atom. The energy relative to the elements, uncorrected is -1.9580 eV per atom. For the density of states at the Fermi level, the calculation gives 1.62 states/eV per atom.


Here is Tb2Ce3PuS6 after structural relaxation from the Alexandria database. Energies are from PBE.

Lattice parameters (Å, degrees): 6.875 6.875 6.921 99.54 99.54 120.03
Atoms (fractional coordinates):
Tb (0.333, 0.667, 0.000)
Tb (0.667, 0.333, 0.000)
Ce (0.167, 0.833, 0.500)
Ce (0.833, 0.167, 0.500)
Ce (0.500, 0.500, 0.500)
Pu (0.000, 0.000, 0.000)
S (0.919, 0.586, 0.758)
S (0.746, 0.746, 0.241)
S (0.081, 0.414, 0.242)
S (0.586, 0.919, 0.758)
S (0.254, 0.254, 0.759)
S (0.414, 0.081, 0.242)

## Properties
The uncorrected energy comes out at -7.515 eV/atom. The energy relative to the elements, uncorrected is -2.0013 eV per atom. For the density of states at the Fermi level, the calculation gives 1.65 states/eV per atom.


Here is Tb4Ce3PuS8 after structural relaxation from the Alexandria database. Energies are from PBE.

Lattice parameters (Å, degrees): 7.916 7.956 7.916 119.84 120.00 90.00
Atoms (fractional coordinates):
Tb (0.500, 0.000, 0.000)
Tb (0.500, 0.000, 0.500)
Tb (0.000, 0.000, 0.000)
Tb (0.000, 0.000, 0.500)
Ce (0.500, 0.500, 0.000)
Ce (0.500, 0.500, 0.500)
Ce (0.000, 0.500, 0.500)
Pu (0.000, 0.500, 0.000)
S (0.251, 0.757, 0.006)
S (0.251, 0.757, 0.502)
S (0.247, 0.241, 0.494)
S (0.755, 0.757, 0.006)
S (0.245, 0.243, 0.994)
S (0.753, 0.759, 0.506)
S (0.749, 0.243, 0.498)
S (0.749, 0.243, 0.994)

## Properties
The uncorrected energy comes out at -7.237 eV/atom. The energy relative to the elements, uncorrected is -2.0078 eV per atom. For the density of states at the Fermi level, the calculation gives 1.31 states/eV per atom.


Here is Tb2CePuS4 after structural relaxation from the Alexandria database. Energies are from PBE.

Lattice parameters (Å, degrees): 3.941 6.843 6.900 109.23 90.00 90.00
Atoms (fractional coordinates):
Tb (0.500, 0.000, 0.500)
Tb (0.000, 0.500, 0.500)
Ce (0.000, 0.000, 0.000)
Pu (0.500, 0.500, 0.000)
S (0.500, 0.255, 0.257)
S (0.500, 0.745, 0.743)
S (0.000, 0.251, 0.745)
S (0.000, 0.749, 0.255)

## Properties
The uncorrected energy comes out at -7.732 eV/atom. The energy relative to the elements, uncorrected is -1.9774 eV per atom. For the density of states at the Fermi level, the calculation gives 1.43 states/eV per atom.


Here is Tb3Ce4PuS8 after structural relaxation from the Alexandria database. Energies are from PBE.

Lattice parameters (Å, degrees): 7.938 7.968 7.938 119.88 120.00 90.00
Atoms (fractional coordinates):
Tb (0.500, 0.500, 0.000)
Tb (0.500, 0.500, 0.500)
Tb (0.000, 0.500, 0.500)
Ce (0.500, 0.000, 0.000)
Ce (0.500, 0.000, 0.500)
Ce (0.000, 0.000, 0.000)
Ce (0.000, 0.000, 0.500)
Pu (0.000, 0.500, 0.000)
S (0.248, 0.742, 0.994)
S (0.248, 0.742, 0.495)
S (0.253, 0.259, 0.506)
S (0.746, 0.742, 0.994)
S (0.254, 0.258, 0.006)
S (0.747, 0.741, 0.494)
S (0.752, 0.258, 0.505)
S (0.752, 0.258, 0.006)

## Properties
The uncorrected energy comes out at -7.321 eV/atom. The energy relative to the elements, uncorrected is -2.0098 eV per atom. For the density of states at the Fermi level, the calculation gives 1.56 states/eV per atom.


Here is TbCe4Pu3S8 after structural relaxation from the Alexandria database. Energies are from PBE.

Lattice parameters (Å, degrees): 7.952 7.973 7.951 119.91 120.00 90.00
Atoms (fractional coordinates):
Tb (0.000, 0.500, 0.000)
Ce (0.500, 0.000, 0.000)
Ce (0.500, 0.000, 0.500)
Ce (0.000, 0.000, 0.000)
Ce (0.000, 0.000, 0.500)
Pu (0.500, 0.500, 0.000)
Pu (0.500, 0.500, 0.500)
Pu (0.000, 0.500, 0.500)
S (0.247, 0.742, 0.995)
S (0.247, 0.742, 0.494)
S (0.253, 0.259, 0.506)
S (0.748, 0.742, 0.995)
S (0.252, 0.258, 0.005)
S (0.747, 0.741, 0.494)
S (0.753, 0.258, 0.506)
S (0.753, 0.258, 0.005)

## Properties
The uncorrected energy comes out at -8.464 eV/atom. The energy relative to the elements, uncorrected is -1.9406 eV per atom. For the density of states at the Fermi level, the calculation gives 2.28 states/eV per atom.


Here is Tb3Ce3PuS8 after structural relaxation from the Alexandria database. Energies are from PBE.

Lattice parameters (Å, degrees): 7.918 7.918 7.988 119.71 90.00 120.00
Atoms (fractional coordinates):
Tb (0.500, 0.000, 0.500)
Tb (0.500, 0.500, 0.500)
Tb (0.000, 0.500, 0.500)
Ce (0.000, 0.000, 0.000)
Ce (0.000, 0.500, 0.000)
Ce (0.500, 0.500, 0.000)
Pu (0.000, 0.000, 0.500)
S (0.253, 0.506, 0.260)
S (0.747, 0.494, 0.740)
S (0.751, 0.502, 0.257)
S (0.249, 0.498, 0.743)
S (0.751, 0.006, 0.257)
S (0.249, 0.994, 0.743)
S (0.255, 0.006, 0.257)
S (0.745, 0.994, 0.743)

## Properties
The uncorrected energy comes out at -7.271 eV/atom. The energy relative to the elements, uncorrected is -2.0018 eV per atom. For the density of states at the Fermi level, the calculation gives 1.50 states/eV per atom.


Here is Tb3Ce2PuS6 after structural relaxation from the Alexandria database. Energies are from PBE.

Lattice parameters (Å, degrees): 3.951 7.966 8.884 103.36 102.85 90.00
Atoms (fractional coordinates):
Tb (0.500, 0.500, 0.000)
Tb (0.833, 0.167, 0.667)
Tb (0.167, 0.833, 0.333)
Ce (0.833, 0.666, 0.667)
Ce (0.167, 0.334, 0.333)
Pu (0.500, 0.000, 0.000)
S (0.333, 0.922, 0.666)
S (0.664, 0.589, 0.328)
S (0.667, 0.078, 0.334)
S (0.998, 0.251, 0.996)
S (0.002, 0.749, 0.004)
S (0.336, 0.411, 0.672)

## Properties
The uncorrected energy comes out at -7.403 eV/atom. The energy relative to the elements, uncorrected is -1.9982 eV per atom. For the density of states at the Fermi level, the calculation gives 1.34 states/eV per atom.